(1)
# HfMoC2

A relaxed HfMoC2 crystal (PBE, Alexandria via LeMat-Bulk).

a = 3.1268 Å, b = 3.1268 Å, c = 16.3490 Å
α = 90.00°, β = 90.00°, γ = 120.00°
Space group R3m (No. 160, hexagonal axes)
Unique sites:
Hf (0.0000, 0.0000, 0.0000) x3
Mo (0.0000, 0.0000, 0.8235) x3
C (0.0000, 0.0000, 0.4148) x3
C (0.0000, 0.0000, 0.5729) x3

Summary:
**Electronic total energy**: -10.25 eV/atom
**DFT formation energy**: -441 meV/atom
**Volume**: 46.1 Å³/f.u.
**Polymorph energy (0 for the lowest one)**: 0.000 eV per atom


(2)
# B3TePb

A relaxed B3TePb crystal (PBE, Alexandria via LeMat-Bulk).

a = 4.521 Å, b = 4.521 Å, c = 4.521 Å
α = 90.00°, β = 90.00°, γ = 90.00°
Space group Pm-3m (No. 221)
Unique sites:
B (0.000, 0.000, 0.500) x3
Te (0.000, 0.000, 0.000) x1
Pb (0.500, 0.500, 0.500) x1

Summary:
**Electronic total energy**: -3.40 eV/atom
**Volume**: 92.4 Å³/f.u.
**ΔE_f (raw)**: 1.98 eV/atom
**Polymorph energy (0 for the lowest one)**: 0.000 eV per atom


(3)
# FeSn4

A relaxed FeSn4 crystal (PBE, Alexandria via LeMat-Bulk).

a = 4.994 Å, b = 4.994 Å, c = 4.994 Å
α = 90.00°, β = 90.00°, γ = 90.00°
Space group Pm-3m (No. 221)
Unique sites:
Fe (0.000, 0.000, 0.000) x1
Sn (0.000, 0.000, 0.500) x3
Sn (0.500, 0.500, 0.500) x1

Summary:
**Electronic total energy**: -4.68 eV/atom
**DFT formation energy**: 219 meV/atom
**Volume**: 124.6 Å³/f.u.


(4)
# ScZnOs2

A relaxed ScZnOs2 crystal (PBE, Alexandria via LeMat-Bulk).

a = 2.849 Å, b = 3.961 Å, c = 5.506 Å
α = 90.00°, β = 90.00°, γ = 90.00°
Space group Pmm2 (No. 25)
Unique sites:
Sc (0.000, 0.000, 0.000) x1
Zn (0.500, 0.500, 0.256) x1
Os (0.000, 0.000, 0.517) x1
Os (0.500, 0.500, 0.728) x1

Summary:
**Electronic total energy**: -7.56 eV/atom
**DFT formation energy**: -47 meV/atom
**Volume**: 62.1 Å³/f.u.


(5)
# Na2NbTcN4

A relaxed Na2NbTcN4 crystal (PBE, Alexandria via LeMat-Bulk).

a = 6.758 Å, b = 6.496 Å, c = 5.642 Å
α = 90.00°, β = 90.00°, γ = 90.00°
Space group Pmn2_1 (No. 31)
Unique sites:
Na (0.247, 0.162, 0.000) x4
Nb (0.000, 0.357, 0.506) x2
Tc (0.000, 0.656, 0.016) x2
N (0.000, 0.409, 0.849) x2
N (0.000, 0.624, 0.347) x2
N (0.243, 0.791, 0.950) x4

Summary:
**Electronic total energy**: -7.38 eV/atom
**Volume**: 123.8 Å³/f.u.
**ΔE_f (raw)**: -0.33 eV/atom


(6)
# VSi3B

A relaxed VSi3B crystal (PBE, Alexandria via LeMat-Bulk).

a = 4.100 Å, b = 4.100 Å, c = 4.100 Å
α = 90.00°, β = 90.00°, γ = 90.00°
Space group Pm-3m (No. 221)
Unique sites:
V (0.000, 0.000, 0.000) x1
Si (0.000, 0.500, 0.500) x3
B (0.500, 0.500, 0.500) x1

Summary:
**Electronic total energy**: -5.64 eV/atom
**Volume**: 68.9 Å³/f.u.
**ΔE_f (raw)**: 0.77 eV/atom
**Polymorph energy (0 for the lowest one)**: 0.000 eV per atom


(7)
# Si2NiAg

A relaxed Si2NiAg crystal (PBE, Alexandria via LeMat-Bulk).

a = 5.413 Å, b = 7.551 Å, c = 2.792 Å
α = 90.00°, β = 90.00°, γ = 90.00°
Space group Cmmm (No. 65)
Unique sites:
Si (0.250, 0.250, 0.000) x4
Ni (0.000, 0.000, 0.500) x2
Ag (0.000, 0.500, 0.500) x2

Summary:
**Electronic total energy**: -4.61 eV/atom
**Volume**: 57.1 Å³/f.u.
**ΔE_f (raw)**: 0.26 eV/atom
**Polymorph energy (0 for the lowest one)**: 0.277 eV per atom


(8)
# LaLuHgRu

A relaxed LaLuHgRu crystal (PBE, Alexandria via LeMat-Bulk).

a = 7.231 Å, b = 7.231 Å, c = 7.231 Å
α = 90.00°, β = 90.00°, γ = 90.00°
Space group F-43m (No. 216)
Unique sites:
La (0.000, 0.000, 0.000) x4
Lu (0.000, 0.000, 0.500) x4
Hg (0.250, 0.250, 0.750) x4
Ru (0.250, 0.250, 0.250) x4

Summary:
**Electronic total energy**: -5.05 eV/atom
**DFT formation energy**: -289 meV/atom
**Volume**: 94.5 Å³/f.u.